A plane-wave DFT calculation with GGA-PBE was carried out for crystalline PmDyRe4 at its relaxed geometry.

Energy of formation (eV per atom): -0.083

Cell lengths 5.4555, 5.4555, 5.4555 Å; angles 60.00, 60.00, 60.00 degrees
Closest atoms and distances in Å follow each position.
Atoms (fractional coordinates):
Pm (0.0000, 0.0000, 0.0000)  12 Re 3.20, 4 Dy 3.34
Dy (0.7500, 0.7500, 0.7500)  12 Re 3.20, 4 Pm 3.34
Re (0.3751, 0.3751, 0.3751)  6 Re 2.73
Re (0.3751, 0.3751, 0.8748)  6 Re 2.73
Re (0.3751, 0.8748, 0.3751)  6 Re 2.73
Re (0.8748, 0.3751, 0.3751)  6 Re 2.73